(1)
AcInBiAu, optimized geometry, DFT PBE; total moment = 0.0 μB per cell; calculated volume = 29.3 Å³ per atom; ΔH_f (0 K) = -1.78 eV/f.u.; uncorrected energy = -15.784 eV per cell
1.0
5.491 0.000 0.000
2.745 4.755 0.000
2.745 1.585 4.483
Au In Bi Ac
1 1 1 1
direct
0.000 0.000 0.000
0.500 0.500 0.500
0.250 0.250 0.250
0.750 0.750 0.750


(2)
AcBiIrAu, optimized geometry, DFT PBE; total moment = 0.0 μB per cell; calculated volume = 24.8 Å³ per atom; ΔH_f (0 K) = -1.03 eV/f.u.; uncorrected energy = -21.162 eV per cell
1.0
-1.374 1.586 -4.754
1.922 -2.393 -4.194
-3.088 -2.972 -2.939
Bi Ac Ir Au
1 1 1 1
direct
0.750 0.750 0.750
0.250 0.250 0.250
0.000 0.000 0.000
0.500 0.500 0.500


(3)
LiAcBiAu, optimized geometry, DFT PBE; total moment = 0.0 μB per cell; calculated volume = 28.5 Å³ per atom; ΔH_f (0 K) = -2.65 eV/f.u.; uncorrected energy = -15.835 eV per cell
1.0
5.443 0.000 0.000
2.721 4.713 0.000
2.721 1.571 4.444
Li Bi Au Ac
1 1 1 1
direct
0.250 0.250 0.250
0.500 0.500 0.500
0.000 0.000 0.000
0.750 0.750 0.750


(4)
Li3Ac2Bi4Au, optimized geometry, DFT PBE; total moment = 0.0 μB per cell; calculated volume = 27.0 Å³ per atom; ΔH_f (0 K) = -6.25 eV/f.u.; uncorrected energy = -39.008 eV per cell
1.0
-0.927 4.377 2.096
-3.246 1.027 -3.581
-8.078 -4.588 6.006
Ac Li Bi Au
2 3 4 1
direct
0.000 0.500 0.748
0.500 0.000 0.252
0.000 0.000 0.500
0.500 0.000 0.885
0.000 0.500 0.115
0.000 0.000 0.000
0.000 0.500 0.356
0.500 0.500 0.000
0.500 0.000 0.644
0.500 0.500 0.500